The following is a DFT calculation (PBE-GGA) of crystalline Sc3SnRh2 at its relaxed geometry.

Summary:
Energy of formation from the pure elements, meV/atom: -853.8

Cell: 3.1799 3.1799 11.2476 Å, 90.00 90.00 90.00°
Positions (direct):
1 Sc 0.0000 0.0000 0.0000
2 Sc 0.0000 0.0000 0.2951
3 Sc 0.0000 0.0000 0.7049
4 Sn 0.5000 0.5000 0.5000
5 Rh 0.5000 0.5000 0.1506
6 Rh 0.5000 0.5000 0.8494